1.
This record from Alexandria via LeMat-Bulk describes a relaxed structure of BeNiTe3. The functional is PBE.

Unit cell a=5.0045 b=5.0045 c=5.0045 alpha=90.00 beta=90.00 gamma=90.00
With the nearest neighbours (Å) after each atom.
Sites, in units of the cell vectors:
1 Be 0.0000 0.0000 0.0000  12 Te 3.54
2 Ni 0.5000 0.5000 0.5000  6 Te 2.50
3 Te 0.0000 0.5000 0.5000  2 Ni 2.50
4 Te 0.5000 0.0000 0.5000  2 Ni 2.50
5 Te 0.5000 0.5000 0.0000  2 Ni 2.50

Summary:
Energy above the lowest structure with this stoichiometry ... 0.0 meV/atom
Space-group type ... Pm-3m, No. 221
E_tot ... -3.02 eV/atom

***

2.
This record from Alexandria via LeMat-Bulk describes a relaxed structure of BeNiTe2. The functional is PBE.

Unit cell a=8.6988 b=8.6988 c=8.6988 alpha=156.20 beta=156.20 gamma=33.90
With the nearest neighbours (Å) after each atom.
Sites, in units of the cell vectors:
1 Be 0.0000 0.0000 0.0000  4 Te 2.54
2 Ni 0.2500 0.7500 0.5000  4 Te 2.54
3 Te 0.5000 0.5000 0.0000  4 Be 2.54
4 Te 0.7500 0.2500 0.5000  4 Ni 2.54

Summary:
Space-group type ... I-4m2, No. 119
E_tot ... -3.54 eV/atom

***

3.
This record from Alexandria via LeMat-Bulk describes a relaxed structure of Be2NiTe2. The functional is PBE.

Unit cell a=4.9067 b=4.9067 c=4.9067 alpha=116.98 beta=116.98 gamma=95.32
With the nearest neighbours (Å) after each atom.
Sites, in units of the cell vectors:
1 Be 0.1642 0.1642 0.0000  1 Be 2.17, 1 Ni 2.22
2 Be 0.8358 0.8358 0.0000  1 Be 2.17, 1 Ni 2.22
3 Ni 0.5000 0.5000 0.0000  2 Be 2.22
4 Te 0.2500 0.7500 0.5000  4 Be 2.63
5 Te 0.7500 0.2500 0.5000  4 Be 2.63

Summary:
Energy above the lowest structure with this stoichiometry ... 94.4 meV/atom
Space-group type ... I4/mmm, No. 139
E_tot ... -3.40 eV/atom

***

4.
This record from Alexandria via LeMat-Bulk describes a relaxed structure of BeNiTe2. The functional is PBE.

Unit cell a=4.9015 b=4.9015 c=3.0799 alpha=90.00 beta=90.00 gamma=90.00
With the nearest neighbours (Å) after each atom.
Sites, in units of the cell vectors:
1 Be 0.0000 0.0000 0.0000  8 Te 2.89, 2 Be 3.08
2 Ni 0.5000 0.5000 0.0000  8 Te 2.89, 2 Ni 3.08
3 Te 0.0000 0.5000 0.5000  4 Ni 2.89, 4 Be 2.89, 2 Te 3.08
4 Te 0.5000 0.0000 0.5000  4 Ni 2.89, 4 Be 2.89, 2 Te 3.08

Summary:
Space-group type ... P4/mmm, No. 123
E_tot ... -3.43 eV/atom

***

5.
This record from Alexandria via LeMat-Bulk describes a relaxed structure of BeNi3Te. The functional is PBE.

Unit cell a=4.5899 b=4.5899 c=4.5899 alpha=90.00 beta=90.00 gamma=90.00
With the nearest neighbours (Å) after each atom.
Sites, in units of the cell vectors:
1 Be 0.0000 0.0000 0.0000  12 Ni 3.25
2 Ni 0.0000 0.5000 0.5000  2 Te 2.29
3 Ni 0.5000 0.0000 0.5000  2 Te 2.29
4 Ni 0.5000 0.5000 0.0000  2 Te 2.29
5 Te 0.5000 0.5000 0.5000  6 Ni 2.29

Summary:
Energy above the lowest structure with this stoichiometry ... 892.6 meV/atom
Space-group type ... Pm-3m, No. 221
E_tot ... -3.76 eV/atom

***

6.
This record from Alexandria via LeMat-Bulk describes a relaxed structure of BeNiTe2. The functional is PBE.

Unit cell a=6.8432 b=6.8432 c=6.8432 alpha=150.25 beta=148.31 gamma=44.02
With the nearest neighbours (Å) after each atom.
Sites, in units of the cell vectors:
1 Be 0.0000 0.0000 0.0000  2 Ni 2.17
2 Ni 0.4124 0.9124 0.5000  2 Be 2.17
3 Te 0.5713 0.5713 0.0000  2 Ni 2.67, 4 Be 2.72
4 Te 0.8232 0.3232 0.5000  4 Ni 2.80, 2 Be 2.85

Summary:
Space-group type ... Imm2, No. 44
E_tot ... -3.83 eV/atom

***

7.
This record from Alexandria via LeMat-Bulk describes a relaxed structure of BeNi3Te. The functional is PBE.

Unit cell a=4.0413 b=4.0413 c=4.0413 alpha=90.00 beta=90.00 gamma=90.00
With the nearest neighbours (Å) after each atom.
Sites, in units of the cell vectors:
1 Be 0.0000 0.0000 0.0000  6 Ni 2.02
2 Ni 0.0000 0.0000 0.5000  2 Be 2.02
3 Ni 0.0000 0.5000 0.0000  2 Be 2.02
4 Ni 0.5000 0.0000 0.0000  2 Be 2.02
5 Te 0.5000 0.5000 0.5000  12 Ni 2.86

Summary:
Energy above the lowest structure with this stoichiometry ... 0.0 meV/atom
Space-group type ... Pm-3m, No. 221
E_tot ... -4.65 eV/atom

***

8.
This record from Alexandria via LeMat-Bulk describes a relaxed structure of BeNiTe2. The functional is PBE.

Unit cell a=4.3700 b=4.3700 c=7.2598 alpha=90.00 beta=90.00 gamma=132.64
With the nearest neighbours (Å) after each atom.
Sites, in units of the cell vectors:
1 Be 0.0000 0.0000 0.0000  4 Te 2.49
2 Ni 0.0000 0.0000 0.5000  4 Te 2.56
3 Te 0.5000 0.5000 0.2435  2 Be 2.49, 2 Ni 2.56
4 Te 0.5000 0.5000 0.7565  2 Be 2.49, 2 Ni 2.56

Summary:
Space-group type ... Cmmm, No. 65
E_tot ... -3.54 eV/atom

***

Calculated formation energy without anion corrections (eV per atom), listed in the same order as above: 0.77 0.41 0.50 0.52 1.08 0.12 0.19 0.40